(1)
VASP calculation (PBE) on an optimized crystal structure of Be2IrPt.

```
Be2IrPt
1.0
7.299 -0.005 -0.003
6.766 2.739 -0.003
6.766 1.315 2.403
Pt Ir Be
1 1 2
Cartesian
15.623 3.037 1.798
5.208 1.012 0.599
20.779 4.039 2.391
10.466 2.035 1.204
```

- Raw total energy: -5.9829 eV per atom
- Magnetic moment: 0.000 μB per atom
- Crystal system: trigonal
- Space-group type: R-3m (166)

(2)
VASP calculation (PBE) on an optimized crystal structure of TaTe4W.

```
TaTe4W
1.0
6.344 -0.844 0.000
-1.957 6.106 0.000
-2.193 -2.631 10.318
Te Ta W
8 2 2
Cartesian
-0.486 1.623 9.625
-1.464 4.676 0.693
2.679 1.008 0.693
3.377 0.522 6.897
3.657 -2.045 9.625
-0.205 -0.945 6.897
2.398 3.576 3.421
-1.184 2.109 3.421
1.586 -0.211 8.817
0.607 2.842 1.501
4.758 -0.633 1.565
-2.565 3.264 8.753
```

- Raw total energy: -6.1305 eV per atom
- Formation energy (no corrections): 9.5 kJ per mole of atoms
- Magnetic moment: 0.000 μB per atom
- Crystal system: monoclinic
- Space-group type: C2/c (15)

(3)
VASP calculation (PBE) on an optimized crystal structure of Li5BiPb4.

```
Li5BiPb4
1.0
-0.504 -1.610 3.148
-1.309 -2.869 -1.677
16.442 -6.959 -0.926
Pb Li Bi
4 5 1
Cartesian
3.374 -1.428 -0.190
9.834 -4.162 -0.554
6.608 -2.797 -0.372
13.068 -5.531 -0.736
7.314 -5.719 0.273
10.527 -7.078 0.092
13.815 -8.470 -0.093
4.102 -4.359 0.454
0.814 -2.967 0.639
0.000 0.000 0.000
```

- Raw total energy: -3.1128 eV per atom
- Magnetic moment: 0.000 μB per atom
- Crystal system: tetragonal
- Space-group type: P4/mmm (123)

(4)
VASP calculation (PBE) on an optimized crystal structure of BaAs2SeBr.

```
BaAs2SeBr
1.0
4.983 0.000 0.000
0.000 4.983 0.000
0.000 0.000 6.629
Br As Se Ba
1 2 1 1
Cartesian
0.000 0.000 3.315
0.000 2.491 0.000
2.491 0.000 0.000
0.000 0.000 0.000
2.491 2.491 3.315
```

- Raw total energy: -3.5872 eV per atom
- Formation energy (no corrections): -30.0 kJ per mole of atoms
- Magnetic moment: 0.000 μB per atom
- Crystal system: tetragonal
- Space-group type: P4/mmm (123)

(5)
VASP calculation (PBE) on an optimized crystal structure of HfCd2InCu.

```
HfCd2InCu
1.0
5.235 0.000 0.000
0.000 4.709 0.000
0.000 0.000 5.235
Cd Hf Cu In
2 1 1 1
Cartesian
2.617 0.000 0.000
0.000 0.000 2.617
2.617 2.354 2.617
0.000 2.354 0.000
0.000 0.000 0.000
```

- Raw total energy: -2.7599 eV per atom
- Magnetic moment: 0.000 μB per atom
- Crystal system: tetragonal
- Space-group type: P4/mmm (123)

(6)
VASP calculation (PBE) on an optimized crystal structure of Tb3Pm2Er3.

```
Tb3Pm2Er3
1.0
3.584 0.000 0.000
-1.792 8.674 0.000
0.000 0.000 16.887
Er Pm Tb
6 4 6
Cartesian
1.792 1.358 4.222
1.792 8.570 15.188
0.000 7.316 12.665
0.000 0.104 6.744
1.792 8.570 10.143
0.000 0.104 1.699
1.792 4.946 10.971
1.792 4.946 14.359
0.000 3.728 5.916
0.000 3.728 2.528
1.792 2.516 8.687
0.000 6.158 0.243
0.000 6.771 4.222
0.000 6.158 8.200
1.792 2.516 16.644
1.792 1.903 12.665
```

- Raw total energy: -4.5078 eV per atom
- Magnetic moment: 0.000 μB per atom
- Crystal system: orthorhombic
- Space-group type: Cmcm (63)